1.
MgTe2As at its PBEsol-relaxed geometry, computed with SCAN.

a = 3.5658 Å, b = 3.5658 Å, c = 7.2677 Å
α = 90.00°, β = 90.00°, γ = 90.00°
With the nearest neighbours (Å) after each atom.
Space group P4/mmm (No. 123)
Asymmetric unit:
1 Mg 0.0000 0.0000 0.0000 [1 per cell]  8 Te 3.10
2 Te 0.5000 0.5000 0.2485 [2 per cell]  4 Mg 3.10, 4 As 3.11
3 As 0.0000 0.0000 0.5000 [1 per cell]  8 Te 3.11

E_tot: -24.86 eV per atom
Distance to the lowest polymorph of the same formula: 36.4 kJ/mol of formula units
Raw formation energy: 0.059 eV per atom
Crystal system: tetragonal

2.
MgTlAs2 at its PBEsol-relaxed geometry, computed with SCAN.

a = 6.2336 Å, b = 6.2336 Å, c = 11.7015 Å
α = 90.00°, β = 90.00°, γ = 90.00°
With the nearest neighbours (Å) after each atom.
Space group I-42d (No. 122)
Asymmetric unit:
1 Mg 0.0000 0.0000 0.0000 [4 per cell]  4 As 2.62
2 Tl 0.0000 0.0000 0.5000 [4 per cell]  4 As 2.67
3 As 0.2424 0.2500 0.1250 [8 per cell]  2 Mg 2.62, 2 Tl 2.67

E_tot: -29.47 eV per atom
Distance to the lowest polymorph of the same formula: 47.9 kJ/mol of formula units
Crystal system: tetragonal
Energy of formation from the pure elements: -38 meV per atom

3.
Mg2TlAs at its PBEsol-relaxed geometry, computed with SCAN.

a = 3.4347 Å, b = 3.6999 Å, c = 6.7079 Å
α = 90.00°, β = 90.28°, γ = 90.00°
With the nearest neighbours (Å) after each atom.
Space group P2/m (No. 10)
Asymmetric unit:
1 Mg 0.9997 0.0000 0.2194 [2 per cell]  4 As 2.92-2.93, 1 Mg 2.94, 4 Tl 3.14-3.15
2 Tl 0.5000 0.5000 0.5000 [1 per cell]  8 Mg 3.14-3.15, 2 As 3.35, 2 Tl 3.43
3 As 0.5000 0.5000 0.0000 [1 per cell]  8 Mg 2.92-2.93

E_tot: -25.83 eV per atom
Distance to the lowest polymorph of the same formula: 35.7 kJ/mol of formula units
Crystal system: monoclinic
Energy of formation from the pure elements: -209 meV per atom

4.
MgTlAs2 at its PBEsol-relaxed geometry, computed with SCAN.

a = 3.6410 Å, b = 3.6410 Å, c = 6.8438 Å
α = 90.00°, β = 90.00°, γ = 90.00°
With the nearest neighbours (Å) after each atom.
Space group P4/mmm (No. 123)
Asymmetric unit:
1 Mg 0.0000 0.0000 0.0000 [1 per cell]  8 As 2.85
2 Tl 0.0000 0.0000 0.5000 [1 per cell]  8 As 3.38, 2 Mg 3.42, 4 Tl 3.64
3 As 0.5000 0.5000 0.1795 [2 per cell]  1 As 2.46

E_tot: -29.59 eV per atom
Distance to the lowest polymorph of the same formula: 0.0 kJ/mol of formula units
Crystal system: tetragonal
Energy of formation from the pure elements: -162 meV per atom

5.
Mg2TlAs at its PBEsol-relaxed geometry, computed with SCAN.

a = 7.0397 Å, b = 4.0476 Å, c = 7.0631 Å
α = 90.00°, β = 109.16°, γ = 90.00°
With the nearest neighbours (Å) after each atom.
Space group C2/m (No. 12)
Asymmetric unit:
1 Mg 0.2281 0.0000 0.1861 [4 per cell]  3 As 2.65
2 Tl 0.0000 0.0000 0.5000 [2 per cell]  6 Mg 3.14
3 As 0.0000 0.5000 0.0000 [2 per cell]  6 Mg 2.65

E_tot: -25.93 eV per atom
Distance to the lowest polymorph of the same formula: 0.0 kJ/mol of formula units
Crystal system: monoclinic
Energy of formation from the pure elements: -301 meV per atom

6.
Mg2TlAs at its PBEsol-relaxed geometry, computed with SCAN.

a = 3.6998 Å, b = 4.0656 Å, c = 12.0385 Å
α = 90.00°, β = 90.00°, γ = 90.00°
With the nearest neighbours (Å) after each atom.
Space group Imm2 (No. 44)
Asymmetric unit:
1 Mg 0.0000 0.0000 0.0000 [2 per cell]  2 As 2.74, 4 Tl 3.03
2 Mg 0.0000 0.5000 0.2004 [2 per cell]  4 As 2.78, 2 Tl 3.09
3 Tl 0.0000 0.0000 0.3935 [2 per cell]  6 Mg 3.03-3.09, 2 As 3.29
4 As 0.0000 0.5000 0.6676 [2 per cell]  6 Mg 2.74-2.78

E_tot: -25.89 eV per atom
Distance to the lowest polymorph of the same formula: 13.2 kJ/mol of formula units
Crystal system: orthorhombic
Energy of formation from the pure elements: -267 meV per atom